Computed, not measured: an optimized crystal structure of LiVBO3 at the PBEsol level of DFT.

Structure (POSCAR):
```
LiVBO3
1.0
4.387 -0.006 0.034
-2.085 4.707 -0.024
-1.839 -1.709 5.485
O V B Li
6 2 2 2
Direct
0.966 0.296 0.634 O
0.034 0.704 0.366 O
0.371 0.798 0.116 O
0.278 0.190 0.291 O
0.722 0.810 0.709 O
0.629 0.202 0.884 O
0.206 0.764 0.748 V
0.794 0.236 0.252 V
0.792 0.106 0.748 B
0.208 0.894 0.252 B
0.447 0.377 0.663 Li
0.553 0.623 0.337 Li
```

density: 3.42 Mg/m³
spin magnetization: 6.000 μB per cell
formation energy without anion corrections: -2011 meV/atom
DOS at the Fermi energy: 0.11 states/eV/f.u.
energy relative to the lowest polymorph listed for this composition: 10 meV/atom
space group: P-1

Computed, not measured: an optimized crystal structure of Li2VBO4 at the PBEsol level of DFT.

Structure (POSCAR):
```
Li2VBO4
1.0
4.606 0.000 -0.004
0.000 5.128 0.000
-0.006 0.000 6.153
O Li B V
8 4 2 2
Direct
0.599 0.690 0.950 O
0.593 0.685 0.547 O
0.589 0.098 0.741 O
0.671 0.191 0.252 O
0.093 0.315 0.047 O
0.099 0.310 0.450 O
0.171 0.809 0.752 O
0.089 0.902 0.241 O
0.011 0.150 0.748 Li
0.008 0.687 0.494 Li
0.508 0.313 0.994 Li
0.511 0.850 0.248 Li
0.493 0.821 0.748 B
0.993 0.179 0.248 B
0.516 0.326 0.507 V
0.016 0.674 0.007 V
```

density: 3.19 Mg/m³
spin magnetization: 4.000 μB per cell
formation energy without anion corrections: -2203 meV/atom
space group: Pc

Computed, not measured: an optimized crystal structure of LiZnBO3 at the PBEsol level of DFT.

Structure (POSCAR):
```
LiZnBO3
1.0
-1.299 4.812 0.878
-4.501 1.063 2.105
0.219 1.668 5.769
O Zn B Li
6 2 2 2
Direct
0.871 0.255 0.730 O
0.698 0.495 0.208 O
0.599 0.995 0.708 O
0.145 0.755 0.230 O
0.399 0.013 0.276 O
0.313 0.513 0.776 O
0.897 0.559 0.824 Zn
0.720 0.059 0.324 Zn
0.588 0.257 0.747 B
0.408 0.757 0.247 B
0.054 0.388 0.329 Li
0.228 0.888 0.829 Li
```

density: 3.72 Mg/m³
spin magnetization: 0.000 μB per cell
formation energy without anion corrections: -2074 meV/atom
DOS at the Fermi energy: 0.00 states/eV/f.u.
energy relative to the lowest polymorph listed for this composition: 0 meV/atom
space group: Cc

Computed, not measured: an optimized crystal structure of LiZnBO3 at the PBEsol level of DFT.

Structure (POSCAR):
```
LiZnBO3
1.0
-2.881 1.353 3.826
-0.662 -3.118 3.828
9.053 4.081 5.112
Zn O Li B
4 12 4 4
Direct
0.967 0.722 0.417 Zn
0.987 0.344 0.659 Zn
0.323 0.022 0.879 Zn
0.752 0.919 0.099 Zn
0.784 0.285 0.131 O
0.569 0.073 0.365 O
0.328 0.980 0.090 O
0.636 0.293 0.619 O
0.326 0.758 0.377 O
0.112 0.515 0.134 O
0.737 0.930 0.916 O
0.033 0.305 0.412 O
0.969 0.417 0.838 O
0.403 0.986 0.667 O
0.931 0.745 0.604 O
0.269 0.665 0.865 O
0.457 0.457 0.247 Li
0.638 0.373 0.451 Li
0.424 0.566 0.032 Li
0.329 0.651 0.690 Li
0.307 0.046 0.385 B
0.073 0.259 0.120 B
0.989 0.674 0.872 B
0.653 0.010 0.632 B
```

density: 3.63 Mg/m³
spin magnetization: 0.000 μB per cell
formation energy without anion corrections: -2043 meV/atom
DOS at the Fermi energy: 0.00 states/eV/f.u.
energy relative to the lowest polymorph listed for this composition: 31 meV/atom
space group: P1

Computed, not measured: an optimized crystal structure of LiB2PRu at the PBEsol level of DFT.

Structure (POSCAR):
```
LiB2PRu
1.0
3.930 0.000 0.000
0.000 3.930 0.000
0.000 0.000 4.685
P Ru Li B
1 1 1 2
Direct
0.500 0.500 0.500 P
0.000 0.000 0.000 Ru
0.000 0.000 0.500 Li
0.500 0.000 0.000 B
0.000 0.500 0.000 B
```

density: 3.69 Mg/m³
spin magnetization: 0.609 μB per cell
electronic total energy: -0.38292 Ry/atom
DOS at the Fermi energy: 4.60 states/eV/f.u.
space group: P4/mmm

Computed, not measured: an optimized crystal structure of LiBPt3 at the PBEsol level of DFT.

Structure (POSCAR):
```
LiBPt3
1.0
4.114 0.000 0.000
0.000 4.114 0.000
0.000 0.000 4.114
Li Pt B
1 3 1
Direct
0.500 0.500 0.500 Li
0.500 0.000 0.000 Pt
0.000 0.000 0.500 Pt
0.000 0.500 0.000 Pt
0.000 0.000 0.000 B
```

density: 14.38 Mg/m³
spin magnetization: 0.000 μB per cell
DOS at the Fermi energy: 0.16 states/eV/f.u.
energy relative to the lowest polymorph listed for this composition: 151 meV/atom
space group: Pm-3m

Computed, not measured: an optimized crystal structure of LiBPt3 at the PBEsol level of DFT.

Structure (POSCAR):
```
LiBPt3
1.0
-0.909 1.901 -1.796
-7.656 -4.956 -1.369
0.230 6.389 6.646
Pt Li B
9 3 3
Direct
0.000 0.178 0.178 Pt
0.500 0.835 0.517 Pt
0.000 0.000 0.822 Pt
0.500 0.517 0.835 Pt
0.500 0.682 0.165 Pt
0.000 0.822 0.000 Pt
0.500 0.318 0.483 Pt
0.500 0.483 0.318 Pt
0.500 0.165 0.682 Pt
0.000 0.362 0.000 Li
0.000 0.638 0.638 Li
0.000 0.000 0.362 Li
0.000 0.333 0.667 B
0.000 0.667 0.333 B
0.500 0.000 0.000 B
```

density: 14.73 Mg/m³
spin magnetization: 0.000 μB per cell
DOS at the Fermi energy: 1.81 states/eV/f.u.
energy relative to the lowest polymorph listed for this composition: 0 meV/atom
space group: P-62m

Computed, not measured: an optimized crystal structure of Li2BPt2 at the PBEsol level of DFT.

Structure (POSCAR):
```
Li2BPt2
1.0
4.347 0.000 0.000
0.000 5.557 0.000
0.000 0.000 5.557
Pt Li B
4 4 2
Direct
0.000 0.165 0.335 Pt
0.000 0.835 0.665 Pt
0.000 0.665 0.165 Pt
0.000 0.335 0.835 Pt
0.500 0.662 0.838 Li
0.500 0.162 0.662 Li
0.500 0.338 0.162 Li
0.500 0.838 0.338 Li
0.000 0.000 0.000 B
0.000 0.500 0.500 B
```

density: 10.26 Mg/m³
spin magnetization: 0.000 μB per cell
electronic total energy: -0.40742 Ry/atom
DOS at the Fermi energy: 0.74 states/eV/f.u.
space group: P4/mbm

Computed, not measured: an optimized crystal structure of LiBPt2S at the PBEsol level of DFT.

Structure (POSCAR):
```
LiBPt2S
1.0
4.030 0.000 0.000
0.000 4.030 0.000
0.000 0.000 4.447
Li Pt B S
1 2 1 1
Direct
0.000 0.000 0.500 Li
0.500 0.000 0.000 Pt
0.000 0.500 0.000 Pt
0.000 0.000 0.000 B
0.500 0.500 0.500 S
```

density: 10.12 Mg/m³
spin magnetization: 0.000 μB per cell
formation energy without anion corrections: -1 meV/atom
DOS at the Fermi energy: 1.79 states/eV/f.u.
space group: P4/mmm

Computed, not measured: an optimized crystal structure of Li2TcBPt at the PBEsol level of DFT.

Structure (POSCAR):
```
Li2TcBPt
1.0
-1.801 -0.758 4.175
-2.095 -3.824 -1.598
3.726 -2.522 1.149
Li Tc Pt B
2 1 1 1
Direct
0.000 0.500 0.000 Li
0.000 0.000 0.500 Li
0.000 0.000 0.000 Tc
0.500 0.000 0.000 Pt
0.500 0.500 0.500 B
```

density: 5.31 Mg/m³
spin magnetization: 0.757 μB per cell
electronic total energy: -0.28846 Ry/atom
DOS at the Fermi energy: 5.53 states/eV/f.u.
space group: P4/mmm

Computed, not measured: an optimized crystal structure of LiB2Rh at the PBEsol level of DFT.

Structure (POSCAR):
```
LiB2Rh
1.0
-1.357 -0.833 3.291
-0.310 -3.498 1.017
2.195 -1.351 2.594
Rh Li B
1 1 2
Direct
0.500 0.500 0.500 Rh
0.000 0.000 0.000 Li
0.250 0.250 0.250 B
0.750 0.750 0.750 B
```

density: 6.32 Mg/m³
spin magnetization: 0.001 μB per cell
electronic total energy: -0.43391 Ry/atom
DOS at the Fermi energy: 1.80 states/eV/f.u.
space group: Fm-3m

Computed, not measured: an optimized crystal structure of SrLiB2Rh at the PBEsol level of DFT.

Structure (POSCAR):
```
SrLiB2Rh
1.0
-1.191 0.316 -3.975
-3.905 -0.928 1.096
-1.038 5.231 0.727
Li B Rh Sr
1 2 1 1
Direct
0.500 0.500 0.500 Li
0.000 0.500 0.000 B
0.500 0.000 0.000 B
0.000 0.000 0.000 Rh
0.000 0.000 0.500 Sr
```

density: 3.90 Mg/m³
spin magnetization: 0.000 μB per cell
electronic total energy: -0.33447 Ry/atom
DOS at the Fermi energy: 2.40 states/eV/f.u.
space group: P4/mmm

Computed, not measured: an optimized crystal structure of Li5B7S13 at the PBEsol level of DFT.

Structure (POSCAR):
```
Li5B7S13
1.0
-0.479 -1.543 12.066
-0.636 -11.608 -7.569
11.089 5.189 0.941
Li S B
20 52 28
Direct
0.065 0.027 0.025 Li
0.679 0.064 0.294 Li
0.303 0.774 0.214 Li
0.249 0.559 0.882 Li
0.764 0.571 0.688 Li
0.029 0.226 0.439 Li
0.886 0.056 0.793 Li
0.240 0.295 0.961 Li
0.551 0.259 0.285 Li
0.981 0.515 0.563 Li
0.966 0.485 0.048 Li
0.538 0.973 0.998 Li
0.693 0.429 0.117 Li
0.445 0.705 0.666 Li
0.974 0.779 0.550 Li
0.792 0.741 0.026 Li
0.190 0.441 0.323 Li
0.694 0.221 0.770 Li
0.330 0.944 0.736 Li
0.115 0.936 0.230 Li
0.485 0.360 0.563 S
0.755 0.653 0.552 S
0.559 0.854 0.369 S
0.449 0.848 0.595 S
0.860 0.642 0.313 S
0.182 0.949 0.588 S
0.984 0.449 0.229 S
0.204 0.556 0.597 S
0.042 0.948 0.794 S
0.602 0.347 0.899 S
0.769 0.041 0.016 S
0.955 0.046 0.201 S
0.205 0.146 0.515 S
0.278 0.949 0.364 S
0.125 0.758 0.063 S
0.317 0.153 0.289 S
0.399 0.648 0.098 S
0.625 0.640 0.203 S
0.447 0.150 0.632 S
0.229 0.959 0.975 S
0.319 0.762 0.888 S
0.855 0.558 0.961 S
0.594 0.052 0.845 S
0.057 0.238 0.126 S
0.664 0.847 0.137 S
0.581 0.443 0.278 S
0.867 0.242 0.306 S
0.133 0.346 0.678 S
0.251 0.352 0.450 S
0.337 0.154 0.865 S
0.692 0.251 0.118 S
0.941 0.749 0.868 S
0.798 0.850 0.483 S
0.131 0.751 0.691 S
0.896 0.841 0.249 S
0.100 0.152 0.747 S
0.036 0.551 0.780 S
0.733 0.051 0.640 S
0.286 0.654 0.331 S
0.410 0.556 0.735 S
0.354 0.444 0.180 S
0.555 0.159 0.408 S
0.148 0.444 0.041 S
0.797 0.442 0.403 S
0.683 0.846 0.712 S
0.829 0.051 0.415 S
0.880 0.249 0.939 S
0.718 0.358 0.672 S
0.409 0.954 0.155 S
0.637 0.557 0.835 S
0.515 0.646 0.443 S
0.369 0.354 0.797 S
0.992 0.655 0.912 B
0.175 0.660 0.748 B
0.828 0.942 0.251 B
0.173 0.055 0.748 B
0.685 0.750 0.545 B
0.454 0.750 0.431 B
0.521 0.546 0.276 B
0.699 0.451 0.834 B
0.565 0.748 0.204 B
0.727 0.949 0.475 B
0.836 0.345 0.257 B
0.279 0.051 0.526 B
0.435 0.250 0.795 B
0.090 0.849 0.832 B
0.905 0.144 0.162 B
0.261 0.856 0.018 B
0.385 0.058 0.309 B
0.204 0.250 0.681 B
0.316 0.252 0.456 B
0.250 0.448 0.619 B
0.748 0.549 0.383 B
0.302 0.552 0.171 B
0.741 0.151 0.984 B
0.549 0.258 0.572 B
0.015 0.340 0.088 B
0.619 0.945 0.694 B
0.474 0.454 0.730 B
0.791 0.742 0.314 B
```

density: 2.15 Mg/m³
spin magnetization: 0.000 μB per cell
formation energy without anion corrections: -788 meV/atom
DOS at the Fermi energy: 0.00 states/eV/f.u.
space group: Cc

Computed, not measured: an optimized crystal structure of LiBS2 at the PBEsol level of DFT.

Structure (POSCAR):
```
LiBS2
1.0
5.360 0.000 0.000
-2.680 4.837 0.054
0.000 2.920 4.495
Li S B
2 4 2
Direct
0.500 0.000 0.500 Li
0.250 0.500 0.250 Li
0.875 0.250 0.697 S
0.375 0.250 0.053 S
0.697 0.750 0.375 S
0.053 0.750 0.875 S
0.750 0.500 0.750 B
0.000 0.000 0.000 B
```

density: 2.35 Mg/m³
spin magnetization: 0.000 μB per cell
formation energy without anion corrections: -847 meV/atom
DOS at the Fermi energy: 0.00 states/eV/f.u.
space group: I-42d

Computed, not measured: an optimized crystal structure of LiBS2 at the PBEsol level of DFT.

Structure (POSCAR):
```
LiBS2
1.0
-2.841 0.327 1.298
-1.540 -2.522 1.064
1.434 0.087 6.916
B Li S
1 1 2
Direct
0.500 0.500 0.500 B
0.000 0.000 0.000 Li
0.110 0.110 0.669 S
0.890 0.890 0.331 S
```

density: 2.33 Mg/m³
spin magnetization: 0.000 μB per cell
formation energy without anion corrections: -97 meV/atom
DOS at the Fermi energy: 0.74 states/eV/f.u.
space group: R-3m

Computed, not measured: an optimized crystal structure of SrLiBS3 at the PBEsol level of DFT.

Structure (POSCAR):
```
SrLiBS3
1.0
-1.054 3.074 6.163
-3.005 -6.304 2.631
8.126 -2.726 2.750
S Li Sr B
12 4 4 4
Direct
0.124 0.476 0.750 S
0.366 0.307 0.423 S
0.866 0.193 0.923 S
0.624 0.024 0.250 S
0.876 0.524 0.250 S
0.134 0.807 0.077 S
0.134 0.807 0.423 S
0.366 0.307 0.077 S
0.376 0.976 0.750 S
0.634 0.693 0.923 S
0.634 0.693 0.577 S
0.866 0.193 0.577 S
0.500 0.000 0.000 Li
0.000 0.500 0.500 Li
0.000 0.500 0.000 Li
0.500 0.000 0.500 Li
0.030 0.144 0.250 Sr
0.470 0.644 0.250 Sr
0.530 0.356 0.750 Sr
0.970 0.856 0.750 Sr
0.038 0.716 0.250 B
0.462 0.216 0.250 B
0.962 0.284 0.750 B
0.538 0.784 0.750 B
```

density: 2.86 Mg/m³
spin magnetization: 0.000 μB per cell
formation energy without anion corrections: -1278 meV/atom
DOS at the Fermi energy: 0.00 states/eV/f.u.
space group: Pnma

Computed, not measured: an optimized crystal structure of LiB2Sb at the PBEsol level of DFT.

Structure (POSCAR):
```
LiB2Sb
1.0
-0.362 -2.094 4.427
4.547 -1.550 2.363
0.209 3.227 4.267
B Sb Li
4 2 2
Direct
0.375 0.963 0.537 B
0.662 0.463 0.963 B
0.875 0.037 0.463 B
0.088 0.537 0.037 B
0.750 0.500 0.500 Sb
0.000 0.000 0.000 Sb
0.250 0.500 0.500 Li
0.500 0.000 0.000 Li
```

density: 4.49 Mg/m³
spin magnetization: 0.000 μB per cell
formation energy without anion corrections: 1106 meV/atom
DOS at the Fermi energy: 1.91 states/eV/f.u.
space group: I-42d

Computed, not measured: an optimized crystal structure of Li2Sc2B at the PBEsol level of DFT.

Structure (POSCAR):
```
Li2Sc2B
1.0
-3.448 -1.768 -0.474
0.770 -0.484 -3.796
3.709 -3.793 3.244
Li Sc B
2 2 1
Direct
0.580 0.580 0.160 Li
0.420 0.420 0.840 Li
0.750 0.250 0.500 Sc
0.250 0.750 0.500 Sc
0.000 0.000 0.000 B
```

density: 2.24 Mg/m³
spin magnetization: 0.001 μB per cell
electronic total energy: -0.27613 Ry/atom
DOS at the Fermi energy: 5.08 states/eV/f.u.
space group: I4/mmm

Computed, not measured: an optimized crystal structure of Li2TcBSe at the PBEsol level of DFT.

Structure (POSCAR):
```
Li2TcBSe
1.0
-1.386 2.460 2.606
-4.520 -2.099 -0.423
1.153 -3.218 3.652
Se B Li Tc
1 1 2 1
Direct
0.500 0.500 0.500 Se
0.500 0.000 0.000 B
0.000 0.000 0.500 Li
0.000 0.500 0.000 Li
0.000 0.000 0.000 Tc
```

density: 3.48 Mg/m³
spin magnetization: 2.235 μB per cell
formation energy without anion corrections: 1038 meV/atom
DOS at the Fermi energy: 5.17 states/eV/f.u.
space group: P4/mmm